Entry 1:
Material: SrTa2Hg
Method: DFT, PBE
State: optimized geometry

total DFT energy (no corrections)	-5.70	eV per atom
magnetic moment	0.0	Bohr magnetons per cell
density of states at the Fermi level	6.691	states/eV/cell

a = 3.213 Å, b = 5.688 Å, c = 10.610 Å
α = 90.00°, β = 90.00°, γ = 90.00°
Space group Imm2 (No. 44)
Symmetry-distinct sites (fractional):
Sr1 0.000 0.000 0.000
Ta1 0.000 0.000 0.515
Ta2 0.000 0.500 0.213
Hg1 0.000 0.500 0.778



Entry 2:
Material: Tb12Ho6Er
Method: DFT, PBE
State: optimized geometry

total DFT energy (no corrections)	-4.16	eV per atom
magnetic moment	0.0	Bohr magnetons per cell
density of states at the Fermi level	72.864	states/eV/cell

a = 15.1287 Å, b = 15.1287 Å, c = 9.8259 Å
α = 90.00°, β = 90.00°, γ = 120.00°
Space group R-3m (No. 166, hexagonal axes)
Symmetry-distinct sites (fractional):
Tb1 0.0000 0.3902 0.0000
Tb2 0.0711 0.1422 0.7912
Ho1 0.0512 0.5256 0.7049
Er1 0.0000 0.0000 0.5000



Entry 3:
Material: AgPd5Se8
Method: DFT, PBE
State: optimized geometry

magnetic moment	0.0	Bohr magnetons per cell
formation energy from raw total energies	-0.26	eV/atom
density of states at the Fermi level	25.319	states/eV/cell

a = 10.746 Å, b = 10.746 Å, c = 10.746 Å
α = 90.00°, β = 90.00°, γ = 90.00°
Space group F-43m (No. 216)
Symmetry-distinct sites (fractional):
Ag1 0.000 0.000 0.000
Pd1 0.124 0.124 0.376
Pd2 0.250 0.250 0.750
Se1 0.114 0.114 0.614
Se2 0.140 0.140 0.140



no.,density (g cm⁻³)
1,11.1
2,7.8
3,6.8